Compound: BeAg2Os
Source: Alexandria via LeMat-Bulk
Functional: SCAN
Structure: PBEsol geometry

Computed properties:
The calculation puts the total magnetic moment at 0.00 μB/cell. The value obtained for the total DFT energy (no corrections) is -34.196 eV/atom. As for the symmetry: No. 10.

abc: 2.648 4.269 5.127
angles: 90.00 104.98 90.00
Fractional coordinates of all 4 atoms:
Be: 0.500 0.500 0.000
Os: 0.000 0.500 0.500
Ag: 0.647 0.000 0.763
Ag: 0.353 0.000 0.237

Compound: Be2AgOs
Source: Alexandria via LeMat-Bulk
Functional: SCAN
Structure: PBEsol geometry

Computed properties:
The calculation puts the total magnetic moment at 0.00 μB/cell. The value obtained for the total DFT energy (no corrections) is -27.892 eV/atom. As for the symmetry: No. 65.

abc: 2.650 2.650 7.561
angles: 90.00 90.00 113.20
Fractional coordinates of all 4 atoms:
Be: 0.000 0.000 0.265
Be: 0.000 0.000 0.735
Os: 0.500 0.500 0.500
Ag: 0.500 0.500 0.000

Compound: BeAgP
Source: Alexandria via LeMat-Bulk
Functional: SCAN
Structure: PBEsol geometry

Computed properties:
The calculation puts the total magnetic moment at 0.00 μB/cell. The value obtained for the total DFT energy (no corrections) is -15.366 eV/atom. As for the symmetry: No. 187.

abc: 3.621 3.621 3.857
angles: 90.00 90.00 120.00
Fractional coordinates of all 3 atoms:
P: 0.667 0.333 0.000
Ag: 0.000 0.000 0.500
Be: 0.333 0.667 0.000

Compound: BeAg3P
Source: Alexandria via LeMat-Bulk
Functional: SCAN
Structure: PBEsol geometry

Computed properties:
The calculation puts the total magnetic moment at 0.00 μB/cell. The value obtained for the total DFT energy (no corrections) is -21.148 eV/atom. As for the symmetry: No. 221.

abc: 4.344 4.344 4.344
angles: 90.00 90.00 90.00
Fractional coordinates of all 5 atoms:
P: 0.500 0.500 0.500
Ag: 0.000 0.500 0.000
Ag: 0.000 0.000 0.500
Ag: 0.500 0.000 0.000
Be: 0.000 0.000 0.000

Compound: BeAgP2
Source: Alexandria via LeMat-Bulk
Functional: SCAN
Structure: PBEsol geometry

Computed properties:
The calculation puts the total magnetic moment at 0.00 μB/cell. The value obtained for the total DFT energy (no corrections) is -13.693 eV/atom. As for the symmetry: No. 35.

abc: 2.595 2.595 8.839
angles: 90.00 90.00 98.52
Fractional coordinates of all 4 atoms:
P: 0.000 0.000 0.075
P: 0.500 0.500 0.716
Ag: 0.000 0.000 0.460
Be: 0.500 0.500 0.249

Compound: BeAg2P
Source: Alexandria via LeMat-Bulk
Functional: SCAN
Structure: PBEsol geometry

Computed properties:
The calculation puts the total magnetic moment at 0.00 μB/cell. The value obtained for the total DFT energy (no corrections) is -19.207 eV/atom. As for the symmetry: No. 6.

abc: 3.552 3.605 4.951
angles: 109.97 90.00 90.00
Fractional coordinates of all 4 atoms:
P: 0.500 0.432 0.731
Ag: 0.000 0.055 0.980
Ag: 0.500 0.707 0.289
Be: 0.000 0.306 0.499

Compound: BeAgP2
Source: Alexandria via LeMat-Bulk
Functional: SCAN
Structure: PBEsol geometry

Computed properties:
The calculation puts the total magnetic moment at 0.00 μB/cell. The value obtained for the total DFT energy (no corrections) is -13.703 eV/atom. As for the symmetry: No. 65.

abc: 2.846 2.846 7.221
angles: 90.00 90.00 105.91
Fractional coordinates of all 4 atoms:
P: 0.000 0.000 0.199
P: 0.000 0.000 0.801
Ag: 0.500 0.500 0.500
Be: 0.500 0.500 0.000

Compound: BeAgP2
Source: Alexandria via LeMat-Bulk
Functional: SCAN
Structure: PBEsol geometry

Computed properties:
The calculation puts the total magnetic moment at 0.00 μB/cell. The value obtained for the total DFT energy (no corrections) is -13.660 eV/atom. As for the symmetry: No. 25.

abc: 2.589 3.360 6.689
angles: 90.00 90.00 90.00
Fractional coordinates of all 4 atoms:
P: 0.000 0.000 0.917
P: 0.500 0.500 0.279
Ag: 0.000 0.000 0.525
Be: 0.500 0.500 0.779